# 1
The following is a SCAN calculation of a PBEsol-optimized structure of Na3AlH6, from the Alexandria database.

As for the total energy: -4.3735 eV per atom.

abc: 5.3804 9.0153 17.4792
angles: 90.00 90.00 90.00
Last column: nearest neighbours and their distance in Å.
Space group Pbcm (No. 57)
Unique sites:
Na1 0.1883 0.2485 0.1648 x8  6 H 2.18-2.37
Na2 0.2533 0.5824 0.0520 x8  7 H 2.35-2.56
Na3 0.3040 0.5905 0.6529 x8  7 H 2.21-2.42
Al1 0.2184 0.2500 0.0000 x4  6 H 1.74-1.78
Al2 0.2579 0.5769 0.2500 x4  6 H 1.76-1.78
H1 0.0242 0.6864 0.5614 x8  1 Al 1.78
H2 0.0472 0.5274 0.1775 x8  1 Al 1.76
H3 0.1358 0.7390 0.7500 x4  1 Al 1.78
H4 0.2217 0.0846 0.0510 x8  1 Al 1.74
H5 0.3839 0.1048 0.7500 x4  1 Al 1.77
H6 0.4446 0.1734 0.5621 x8  1 Al 1.77
H7 0.4659 0.6255 0.1766 x8  1 Al 1.76



# 2
The following is a SCAN calculation of a PBEsol-optimized structure of Na3AlH6, from the Alexandria database.

As for the total energy: -4.3864 eV per atom.

abc: 5.2663 5.4638 9.2198
angles: 90.00 124.79 90.00
Last column: nearest neighbours and their distance in Å.
Space group P2_1/c (No. 14)
Unique sites:
Na1 0.0000 0.0000 0.0000 x2  6 H 2.18-2.23
Na2 0.2574 0.0464 0.7473 x4  4 H 2.23-2.30
Al1 0.5000 0.0000 0.5000 x2  6 H 1.75-1.77
H1 0.1801 0.0484 0.2811 x4  1 Al 1.76
H2 0.2698 0.6714 0.0443 x4  1 Al 1.75
H3 0.4009 0.2307 0.0640 x4  1 Al 1.77



# 3
The following is a SCAN calculation of a PBEsol-optimized structure of Na3AlP2H2O9, from the Alexandria database.

As for the total energy: -8.5363 eV per atom.

abc: 15.2279 7.0638 7.0408
angles: 90.00 97.24 90.00
Last column: nearest neighbours and their distance in Å.
Space group C2/m (No. 12)
Unique sites:
Na1 0.0000 0.2346 0.0000 x4  6 O 2.39-2.44
Na2 0.1116 0.5000 0.7105 x4  2 O 2.17-2.23
Na3 0.2500 0.2500 0.5000 x4  4 O 2.19-2.45
Al1 0.2500 0.2500 0.0000 x4  6 O 1.86-1.95
P1 0.1186 0.0000 0.7031 x4  4 O 1.54-1.59
P2 0.1224 0.5000 0.2245 x4  4 O 1.52-1.57
H1 0.0557 0.0000 0.3880 x4  1 O 1.05
H2 0.1913 0.0000 0.1789 x4  1 O 0.98
O1 0.0219 0.5000 0.2107 x4  1 P 1.52
O2 0.0240 0.0000 0.7569 x4  1 H 1.48, 1 P 1.54
O3 0.1167 0.0000 0.4767 x4  1 H 1.05
O4 0.1516 0.3202 0.1168 x8  1 P 1.57
O5 0.1669 0.5000 0.4314 x4  1 P 1.53
O6 0.1699 0.1805 0.7729 x8  1 P 1.54
O7 0.2418 0.0000 0.1056 x4  1 H 0.98



# 4
The following is a SCAN calculation of a PBEsol-optimized structure of Na2Al2Si3H6O13, from the Alexandria database.

As for the total energy: -8.3121 eV per atom.

abc: 6.4835 19.2983 9.7364
angles: 90.00 107.45 90.00
Last column: nearest neighbours and their distance in Å.
Space group Cc (No. 9)
Unique sites:
Na1 0.0000 0.0824 0.0000 x4  4 O 2.34-2.62
Na2 0.0032 0.3674 0.3295 x4  5 O 2.36-2.54
Al1 0.2565 0.4659 0.7703 x4  4 O 1.74-1.79
Al2 0.3378 0.2915 0.9477 x4  4 O 1.74-1.78
Si1 0.1517 0.4201 0.0448 x4  4 O 1.62-1.64
Si2 0.1778 0.1144 0.3343 x4  4 O 1.61-1.65
Si3 0.4731 0.1692 0.1694 x4  4 O 1.61-1.66
H1 0.0375 0.1135 0.7235 x4  1 O 0.99
H2 0.1250 0.0385 0.7771 x4  1 O 1.00
H3 0.2601 0.2380 0.6818 x4  1 O 0.99
H4 0.3542 0.2777 0.5031 x4  1 O 1.00
H5 0.4221 0.2856 0.3624 x4  1 O 0.99
H6 0.4965 0.2623 0.7303 x4  1 O 1.00
O1 0.0319 0.0450 0.2748 x4  1 Si 1.64, 1 H 1.72, 1 Al 1.79
O2 0.0382 0.1737 0.3810 x4  1 Si 1.61, 1 Al 1.75
O3 0.1001 0.2788 0.8009 x4  1 Si 1.64, 1 Al 1.78
O4 0.1130 0.3994 0.6636 x4  1 Si 1.62, 1 Al 1.74
O5 0.1524 0.0890 0.7987 x4  2 H 0.99-1.00
O6 0.1663 0.4525 0.2012 x4  1 Si 1.62, 1 Al 1.74
O7 0.2419 0.1444 0.1935 x4  2 Si 1.65-1.66
O8 0.2484 0.4734 0.9488 x4  1 Si 1.64, 1 Al 1.76
O9 0.2934 0.3490 0.0745 x4  1 Si 1.63, 1 Al 1.75
O10 0.3433 0.3101 0.4208 x4  2 H 0.99-1.00
O11 0.3957 0.0945 0.4608 x4  2 Si 1.62-1.64
O12 0.3995 0.2291 0.6628 x4  2 H 0.99-1.00
O13 0.4197 0.2095 0.0174 x4  1 Si 1.61, 1 Al 1.74



# 5
The following is a SCAN calculation of a PBEsol-optimized structure of Na2AlSi3HO9, from the Alexandria database.

As for the total energy: -9.3840 eV per atom.

abc: 7.2164 7.2693 8.6744
angles: 80.44 79.28 64.48
Last column: nearest neighbours and their distance in Å.
Space group P-1 (No. 2)
Unique sites:
Na1 0.1138 0.2211 0.0559 x2  4 O 2.35-2.53
Na2 0.2653 0.4123 0.4410 x2  5 O 2.29-2.52
Al1 0.4526 0.8058 0.8546 x2  4 O 1.74-1.76
Si1 0.0829 0.0960 0.6945 x2  4 O 1.60-1.65
Si2 0.3071 0.9453 0.3626 x2  4 O 1.61-1.65
Si3 0.3909 0.4032 0.8124 x2  4 O 1.61-1.67
H1 0.0839 0.4259 0.7438 x2  1 O 1.11
O1 0.0263 0.3356 0.6500 x2  1 H 1.34
O2 0.1248 0.9544 0.2698 x2  2 Si 1.64-1.65
O3 0.1390 0.4962 0.8194 x2  1 H 1.11
O4 0.2010 0.0010 0.8514 x2  1 Si 1.63, 1 Al 1.76
O5 0.2320 0.9593 0.5497 x2  2 Si 1.62-1.65
O6 0.3640 0.1342 0.2835 x2  1 Si 1.61, 1 Al 1.76
O7 0.4606 0.2359 0.9630 x2  1 Si 1.62, 1 Al 1.74
O8 0.4742 0.5797 0.7943 x2  1 Si 1.61, 1 Al 1.74
O9 0.4949 0.2793 0.6502 x2  2 Si 1.65-1.67



# 6
The following is a SCAN calculation of a PBEsol-optimized structure of NaAl3Si3H2O12, from the Alexandria database.

As for the total energy: -9.4758 eV per atom.

abc: 5.1341 8.8987 19.3252
angles: 90.00 93.32 90.00
Last column: nearest neighbours and their distance in Å.
Space group P2/c (No. 13)
Unique sites:
Na1 0.0000 0.0749 0.2500 x2  4 O 2.41-2.45
Na2 0.5000 0.3770 0.7500 x2  4 O 2.42-2.49
Al1 0.0525 0.2396 0.8589 x4  4 O 1.74-1.76
Al2 0.2467 0.0843 0.9994 x4  6 O 1.86-1.95
Al3 0.2512 0.4147 0.9990 x4  6 O 1.86-1.96
Si1 0.0630 0.4299 0.3590 x4  4 O 1.61-1.66
Si2 0.4271 0.2565 0.1399 x4  4 O 1.62-1.64
Si3 0.4654 0.0699 0.6415 x4  4 O 1.62-1.66
H1 0.1473 0.1595 0.4417 x4  1 O 0.98
H2 0.3728 0.3566 0.5752 x4  1 O 0.98
O1 0.0461 0.4423 0.4433 x4  1 Si 1.64
O2 0.0535 0.0658 0.4488 x4  1 H 0.98
O3 0.1258 0.2495 0.9479 x4  3 Al 1.74-1.86
O4 0.1375 0.4138 0.8232 x4  1 Si 1.61, 1 Al 1.76
O5 0.2260 0.3744 0.1739 x4  2 Si 1.64-1.66
O6 0.2447 0.0999 0.8232 x4  1 Si 1.62, 1 Al 1.75
O7 0.2697 0.2986 0.3370 x4  2 Si 1.64-1.65
O8 0.2784 0.2073 0.6630 x4  1 Si 1.62, 1 Al 1.75
O9 0.3641 0.0918 0.1735 x4  2 Si 1.64-1.66
O10 0.3854 0.2506 0.0562 x4  1 Si 1.62
O11 0.4492 0.4424 0.5521 x4  1 H 0.98
O12 0.4583 0.0518 0.5567 x4  1 Si 1.64



# 7
The following is a SCAN calculation of a PBEsol-optimized structure of NbAl3H, from the Alexandria database.

As for the total energy: -10.6019 eV per atom.

abc: 5.0562 5.0562 5.0562
angles: 90.00 90.00 90.00
Last column: nearest neighbours and their distance in Å.
Space group Pm-3m (No. 221)
Unique sites:
Nb1 0.0000 0.0000 0.0000 x1  6 Al 2.53
Al1 0.0000 0.0000 0.5000 x3  2 Nb 2.53
H1 0.5000 0.5000 0.5000 x1  12 Al 3.58



# 8
The following is a SCAN calculation of a PBEsol-optimized structure of Nb2AlH2, from the Alexandria database.

As for the total energy: -16.4384 eV per atom.

abc: 3.5220 3.5220 9.1035
angles: 90.00 90.00 90.00
Last column: nearest neighbours and their distance in Å.
Space group I4/mmm (No. 139)
Unique sites:
Nb1 0.0000 0.0000 0.1616 x4  4 H 1.94
Al1 0.0000 0.0000 0.5000 x2  8 H 2.88, 10 Nb 2.89-3.08
H1 0.0000 0.5000 0.2500 x4  4 Nb 1.94



# 9
The following is a SCAN calculation of a PBEsol-optimized structure of NbAl2HPt, from the Alexandria database.

As for the total energy: -24.9373 eV per atom.

abc: 4.1748 4.1748 3.6598
angles: 90.00 90.00 90.00
Last column: nearest neighbours and their distance in Å.
Space group P4/mmm (No. 123)
Unique sites:
Nb1 0.0000 0.0000 0.0000 x1  8 Al 2.78, 4 Pt 2.95
Al1 0.0000 0.5000 0.5000 x2  2 H 2.09
H1 0.5000 0.5000 0.5000 x1  2 Pt 1.83
Pt1 0.5000 0.5000 0.0000 x1  2 H 1.83



# 10
The following is a SCAN calculation of a PBEsol-optimized structure of NbAl2TcH, from the Alexandria database.

As for the total energy: -16.4499 eV per atom.

abc: 4.7327 4.7327 4.6897
angles: 90.00 90.00 90.00
Last column: nearest neighbours and their distance in Å.
Space group P4/mmm (No. 123)
Unique sites:
Nb1 0.0000 0.0000 0.0000 x1  2 Tc 2.34
Al1 0.0000 0.5000 0.5000 x2  2 Tc 2.37
Tc1 0.0000 0.0000 0.5000 x1  2 Nb 2.34, 4 Al 2.37
H1 0.5000 0.5000 0.0000 x1  8 Al 3.33, 4 Nb 3.35



# 11
The following is a SCAN calculation of a PBEsol-optimized structure of Al3NiH, from the Alexandria database.

As for the total energy: -8.5797 eV per atom.

abc: 3.8668 3.8668 3.8668
angles: 90.00 90.00 90.00
Last column: nearest neighbours and their distance in Å.
Space group Pm-3m (No. 221)
Unique sites:
Al1 0.0000 0.0000 0.5000 x3  2 H 1.93
Ni1 0.5000 0.5000 0.5000 x1  12 Al 2.73
H1 0.0000 0.0000 0.0000 x1  6 Al 1.93



# 12
The following is a SCAN calculation of a PBEsol-optimized structure of AlNi3H, from the Alexandria database.

As for the total energy: -12.3940 eV per atom.

abc: 3.5676 3.5676 3.5676
angles: 90.00 90.00 90.00
Last column: nearest neighbours and their distance in Å.
Space group Pm-3m (No. 221)
Unique sites:
Al1 0.0000 0.0000 0.0000 x1  12 Ni 2.52
Ni1 0.0000 0.5000 0.5000 x3  2 H 1.78
H1 0.5000 0.5000 0.5000 x1  6 Ni 1.78